Entry 1:
Computed, not measured: a geometry-optimized GaSiAu structure at the GGA-PBE level of DFT.

a b c (Å): 3.9598 4.3177 7.6721
angles (deg): 85.13 89.78 63.47
Closest atoms and distances in Å follow each position.
Element x y z (fractional)
Ga 0.1475 0.2136 0.3975  4 Au 2.67-2.69, 3 Ga 2.83-2.94
Ga 0.8525 0.7864 0.6025  4 Au 2.67-2.69, 3 Ga 2.83-2.94
Si 0.3590 0.7816 0.0510  2 Si 2.38-2.65, 3 Au 2.54-2.57
Si 0.6410 0.2184 0.9490  2 Si 2.38-2.65, 3 Au 2.54-2.57
Au 0.1827 0.1313 0.7487  3 Si 2.54-2.57, 4 Ga 2.67-2.69
Au 0.8173 0.8687 0.2513  3 Si 2.54-2.57, 4 Ga 2.67-2.69

Volume   19.47 Å³/atom


Entry 2:
Computed, not measured: a geometry-optimized GaSiAu structure at the GGA-PBE level of DFT.

a b c (Å): 3.7790 5.4676 6.3359
angles (deg): 113.89 106.09 93.16
Closest atoms and distances in Å follow each position.
Element x y z (fractional)
Ga 0.0000 0.0000 0.0000  4 Au 2.61-2.75, 2 Ga 2.88-2.90
Ga 0.3792 0.1316 0.7089  1 Si 2.53, 2 Au 2.68-2.70
Si 0.3011 0.6312 0.4328  2 Si 2.38-2.39, 1 Ga 2.53, 1 Au 2.54
Si 0.8358 0.4432 0.5430  2 Si 2.38-2.39, 2 Au 2.46-2.54
Au 0.0283 0.4888 0.9766  2 Si 2.54, 4 Ga 2.68-2.75
Au 0.6402 0.9502 0.2811  2 Si 2.46-2.72, 2 Ga 2.61-2.68

Volume   18.82 Å³/atom


no.,uncorrected formation energy (meV per atom)
1,-27
2,-17